# 1
This record from Alexandria describes a crystal of LaIrPdN2 relaxed with PBEsol. The functional is meta-GGA SCAN.

Computed properties:
* uncorrected formation energy: 0.039 eV per atom

The structure in extended XYZ format:
```
5
Lattice="-2.9955 -2.4649 0.2806 0.2007 -0.6794 -3.8244 3.2385 -3.8387 0.8519" Properties=species:S:1:pos:R:3 pbc="T T T"
N 0.1004 -0.3397 -1.9122
N -1.4978 -1.2324 0.1403
Ir 0.0000 0.0000 0.0000
Pd 1.6192 -1.9193 0.4259
La 0.2218 -3.4915 -1.3459
```


# 2
This record from Alexandria describes a crystal of RbLaIrN2 relaxed with PBEsol. The functional is meta-GGA SCAN.

Computed properties:
* uncorrected formation energy: 2.060 eV per atom

The structure in extended XYZ format:
```
5
Lattice="4.4618 0.0000 0.0000 0.0000 4.4618 0.0000 0.0000 0.0000 4.8809" Properties=species:S:1:pos:R:3 pbc="T T T"
N 0.0000 2.2309 0.0000
N 2.2309 0.0000 0.0000
Ir 0.0000 0.0000 2.4404
Rb 0.0000 0.0000 0.0000
La 2.2309 2.2309 2.4404
```


# 3
This record from Alexandria describes a crystal of LaIrSe2N relaxed with PBEsol. The functional is meta-GGA SCAN.

Computed properties:
* uncorrected formation energy: -0.780 eV per atom

The structure in extended XYZ format:
```
5
Lattice="-0.3478 -3.7100 -0.3675 1.3660 -0.6132 4.8981 -4.9133 0.3209 1.4105" Properties=species:S:1:pos:R:3 pbc="T T T"
N -0.1739 -1.8550 -0.1837
Ir 0.0000 0.0000 0.0000
Se -2.4567 0.1604 0.7052
Se 0.6830 -0.3066 2.4490
La -1.9475 -2.0012 2.9705
```


# 4
This record from Alexandria describes a crystal of LaTe2IrN relaxed with PBEsol. The functional is meta-GGA SCAN.

Computed properties:
* uncorrected formation energy: 1.579 eV per atom

The structure in extended XYZ format:
```
5
Lattice="-4.4308 0.1231 -2.3794 -2.5557 -3.2298 4.5918 -1.4153 5.2529 2.9071" Properties=species:S:1:pos:R:3 pbc="T T T"
N -4.2009 1.0731 2.5598
Ir -2.2154 0.0615 -1.1897
Te -0.7076 2.6265 1.4536
Te -1.2778 -1.6149 2.2959
La 0.0000 0.0000 0.0000
```


# 5
This record from Alexandria describes a crystal of Na3LaIr relaxed with PBEsol. The functional is meta-GGA SCAN.

Computed properties:
* calculated total energy: -24.5907 eV per atom

The structure in extended XYZ format:
```
5
Lattice="-4.6758 -1.9300 -1.4679 -0.5999 -2.1688 4.7622 -2.3494 4.3947 1.7055" Properties=species:S:1:pos:R:3 pbc="T T T"
Na -0.2999 -1.0844 2.3811
Na -1.1747 2.1974 0.8528
Na -2.3379 -0.9650 -0.7340
Ir 0.0000 0.0000 0.0000
La -3.8125 0.1480 2.4999
```


# 6
This record from Alexandria describes a crystal of NaLa2IrO6 relaxed with PBEsol. The functional is meta-GGA SCAN.

Computed properties:
* uncorrected formation energy: -2.542 eV per atom

The structure in extended XYZ format:
```
20
Lattice="-2.1582 -0.8586 -5.0314 -4.7665 -2.5789 2.4846 -3.6163 7.1009 0.4328" Properties=species:S:1:pos:R:3 pbc="T T T"
Na -5.2705 1.8317 -1.0570
Na 0.0000 0.0000 0.0000
La -6.3782 -1.0179 0.0007
La -2.9842 0.6356 1.0753
La -7.5567 3.0278 -3.1893
La -4.1628 4.6813 -2.1148
Ir -3.4623 -1.7187 -1.2734
Ir -1.8082 3.5504 0.2164
O -5.1762 2.5576 -3.2546
O -8.5482 4.0667 -1.0044
O -5.3648 1.1058 1.1405
O -1.9928 -0.4033 -1.1096
O -7.4544 2.6445 2.1385
O -5.7916 3.9295 -0.4905
O -3.0866 1.0189 -4.2526
O -4.7494 -0.2661 -1.6236
O -3.8445 -1.5653 0.6626
O -3.0985 2.4921 -0.8478
O -6.6965 5.2287 -2.7766
O -7.4424 1.1714 -1.2663
```


# 7
This record from Alexandria describes a crystal of LaNbIr3 relaxed with PBEsol. The functional is meta-GGA SCAN.

Computed properties:
* calculated total energy: -55.8004 eV per atom

The structure in extended XYZ format:
```
5
Lattice="4.7904 0.0000 0.0000 0.0000 4.7904 0.0000 0.0000 0.0000 4.7904" Properties=species:S:1:pos:R:3 pbc="T T T"
Nb 2.3952 2.3952 2.3952
Ir 0.0000 2.3952 0.0000
Ir 0.0000 0.0000 2.3952
Ir 2.3952 0.0000 0.0000
La 0.0000 0.0000 0.0000
```


# 8
This record from Alexandria describes a crystal of RbLaNbIr2 relaxed with PBEsol. The functional is meta-GGA SCAN.

Computed properties:
* calculated total energy: -45.6561 eV per atom

The structure in extended XYZ format:
```
5
Lattice="-1.4406 0.7657 4.4874 -4.4972 -1.5836 -1.1735 1.3001 -4.5806 1.1990" Properties=species:S:1:pos:R:3 pbc="T T T"
Nb -0.7203 0.3829 2.2437
Ir 0.6501 -2.2903 0.5995
Ir -2.2486 -0.7918 -0.5867
Rb 0.0000 0.0000 0.0000
La -2.3188 -2.6992 2.2565
```


# 9
This record from Alexandria describes a crystal of La2NbReIr relaxed with PBEsol. The functional is meta-GGA SCAN.

Computed properties:
* calculated total energy: -51.5674 eV per atom

The structure in extended XYZ format:
```
5
Lattice="4.7196 0.0000 0.0000 0.0000 5.3764 0.0000 0.0000 0.0000 5.3764" Properties=species:S:1:pos:R:3 pbc="T T T"
Re 0.0000 0.0000 0.0000
Nb 2.3598 2.6882 2.6882
Ir 2.3598 0.0000 0.0000
La 0.0000 0.0000 2.6882
La 0.0000 2.6882 0.0000
```


# 10
This record from Alexandria describes a crystal of LaNbIrS2 relaxed with PBEsol. The functional is meta-GGA SCAN.

Computed properties:
* uncorrected formation energy: 0.904 eV per atom

The structure in extended XYZ format:
```
5
Lattice="4.8911 0.0000 0.0000 0.0000 5.2319 0.0000 0.0000 0.0000 5.2319" Properties=species:S:1:pos:R:3 pbc="T T T"
Nb 2.4456 2.6159 2.6159
Ir 2.4456 0.0000 0.0000
S 0.0000 0.0000 2.6159
S 0.0000 2.6159 0.0000
La 0.0000 0.0000 0.0000
```


# 11
This record from Alexandria describes a crystal of LaNiIr relaxed with PBEsol. The functional is meta-GGA SCAN.

Computed properties:
* calculated total energy: -44.0649 eV per atom

The structure in extended XYZ format:
```
3
Lattice="-3.8634 0.9016 -0.6889 0.6655 -0.2540 -4.0648 -1.1586 -3.3491 2.1144" Properties=species:S:1:pos:R:3 pbc="T T T"
Ni -2.4823 -1.8666 -0.2898
Ir -1.9317 0.4508 -0.3444
La 0.0575 -1.2857 -2.0050
```


# 12
This record from Alexandria describes a crystal of LaNiIr relaxed with PBEsol. The functional is meta-GGA SCAN.

Computed properties:
* calculated total energy: -43.4365 eV per atom

The structure in extended XYZ format:
```
3
Lattice="4.4612 0.0000 0.0000 2.2306 3.8635 0.0000 2.2306 1.2878 3.6426" Properties=species:S:1:pos:R:3 pbc="T T T"
Ir 2.2306 1.2878 0.9106
La 0.0000 0.0000 0.0000
Ni 4.4612 2.5757 1.8213
```